# 1
MoOs2Cl: relaxed, GGA-PBE.

It has space group Pmmm (No. 47), with a = 2.819 Å, b = 4.612 Å, c = 4.628 Å, α = 90.00°, β = 90.00° and γ = 90.00°. The inequivalent atoms are Mo at (0.000, 0.000, 0.000), Os at (0.000, 0.500, 0.500), Os at (0.500, 0.000, 0.500) and Cl at (0.500, 0.500, 0.000).

For the formation energy from raw total energies, the calculation gives 3.674 eV per formula unit.



# 2
InSn3Hg2: relaxed, GGA-PBE.

It has space group P2_1/m (No. 11), with a = 8.532 Å, b = 3.184 Å, c = 12.331 Å, α = 90.00°, β = 97.32° and γ = 90.00°. The inequivalent atoms are In at (0.151, 0.250, 0.225), Sn at (0.167, 0.750, 0.977), Sn at (0.198, 0.750, 0.718), Sn at (0.482, 0.250, 0.114), Hg at (0.158, 0.750, 0.464) and Hg at (0.480, 0.250, 0.382).

As for the formation energy from the elements: 0.05 eV/atom.



# 3
RbTa: relaxed, GGA-PBE.

It has space group P4_2/mnm (No. 136), with a = 7.398 Å, b = 7.398 Å, c = 7.426 Å, α = 90.00°, β = 90.00° and γ = 90.00°. The inequivalent atoms are Rb at (0.166, 0.166, 0.000) and Ta at (0.107, 0.107, 0.500).

As for the formation energy from the elements: 2.19 eV/atom.



# 4
La5AlTl2: relaxed, GGA-PBE.

It has space group Pbam (No. 55), with a = 6.965 Å, b = 13.542 Å, c = 5.445 Å, α = 90.00°, β = 90.00° and γ = 90.00°. The inequivalent atoms are La at (0.000, 0.000, 0.000), La at (0.144, 0.408, 0.500), La at (0.148, 0.720, 0.000), Al at (0.000, 0.500, 0.000) and Tl at (0.110, 0.153, 0.500).

As for the formation energy from the elements: -0.33 eV/atom.



# 5
PrMg2Sn: relaxed, GGA-PBE.

It has space group Pmmn (No. 59, origin choice 2), with a = 4.788 Å, b = 6.294 Å, c = 6.994 Å, α = 90.00°, β = 90.00° and γ = 90.00°. The inequivalent atoms are Pr at (0.250, 0.250, 0.085), Mg at (0.250, 0.510, 0.635) and Sn at (0.250, 0.750, 0.240).

As for the formation energy from the elements: -0.38 eV/atom.



# 6
Tm6Zn5In: relaxed, GGA-PBE.

It has space group Immm (No. 71), with a = 5.015 Å, b = 7.145 Å, c = 15.067 Å, α = 90.00°, β = 90.00° and γ = 90.00°. The inequivalent atoms are Tm at (0.000, 0.238, 0.000), Tm at (0.000, 0.256, 0.329), Zn at (0.000, 0.000, 0.168), Zn at (0.000, 0.500, 0.165), Zn at (0.000, 0.500, 0.500) and In at (0.000, 0.000, 0.500).

As for the formation energy from the elements: -0.36 eV/atom.



# 7
Ca2MnPbCl8: relaxed, GGA-PBE.

It has space group P2/m (No. 10), with a = 6.289 Å, b = 8.344 Å, c = 6.500 Å, α = 90.00°, β = 90.46° and γ = 90.00°. The inequivalent atoms are Ca at (0.000, 0.238, 0.000), Mn at (0.500, 0.000, 0.500), Pb at (0.500, 0.500, 0.500), Cl at (0.214, 0.500, 0.844), Cl at (0.233, 0.000, 0.814) and Cl at (0.282, 0.220, 0.332).

For the formation energy from raw total energies, the calculation gives -20.856 eV per formula unit.



# 8
AlSb2Ir: relaxed, GGA-PBE.

It has space group Cm (No. 8), with a = 7.335 Å, b = 4.230 Å, c = 6.557 Å, α = 90.00°, β = 112.21° and γ = 90.00°. The inequivalent atoms are Al at (0.000, 0.000, 0.000), Sb at (0.073, 0.500, 0.726), Sb at (0.259, 0.500, 0.274) and Ir at (0.333, 0.000, 0.000).

For the formation energy from raw total energies, the calculation gives -0.781 eV per formula unit.



# 9
FeIr2Au: relaxed, GGA-PBE.

It has space group Cmmm (No. 65), with a = 5.545 Å, b = 7.648 Å, c = 2.826 Å, α = 90.00°, β = 90.00° and γ = 90.00°. The inequivalent atoms are Fe at (0.000, 0.000, 0.000), Ir at (0.250, 0.250, 0.500) and Au at (0.000, 0.500, 0.000).

As for the formation energy from the elements: 0.31 eV/atom.



# 10
SrTe2Br: relaxed, GGA-PBE.

It has space group C2 (No. 5), with a = 15.753 Å, b = 4.464 Å, c = 9.405 Å, α = 90.00°, β = 108.98° and γ = 90.00°. The inequivalent atoms are Sr at (0.118, 0.000, 0.371), Te at (0.000, 0.041, 0.000), Te at (0.000, 0.501, 0.500), Te at (0.074, 0.520, 0.844) and Br at (0.235, 0.501, 0.315).

For the formation energy from raw total energies, the calculation gives -4.739 eV per formula unit.



# 11
Y3AlPb: relaxed, GGA-PBE.

It has space group Pm-3m (No. 221), with a = 5.464 Å, b = 5.464 Å, c = 5.464 Å, α = 90.00°, β = 90.00° and γ = 90.00°. The inequivalent atoms are Y at (0.000, 0.000, 0.500), Al at (0.000, 0.000, 0.000) and Pb at (0.500, 0.500, 0.500).

As for the formation energy from the elements: -0.03 eV/atom.



# 12
YHPd2: relaxed, GGA-PBE.

It has space group R-3m (No. 166, hexagonal axes), with a = 3.1063 Å, b = 3.1063 Å, c = 22.7311 Å, α = 90.00°, β = 90.00° and γ = 120.00°. The inequivalent atoms are Y at (0.0000, 0.0000, 0.0000), H at (0.0000, 0.0000, 0.5000) and Pd at (0.0000, 0.0000, 0.1179).



Going through the records in order, we get raw total energy values of -7.866; -2.512; -4.219; -4.466; -3.375; -3.357; -4.376; -5.407; -7.060; -3.594; -5.400; -4.981 eV per atom.